# 1
! LiCr2BF | the Alexandria database | GGA+U | optimized geometry; values from VASP
&SYSTEM
  ibrav = 0, nat = 5, ntyp = 4
/
ATOMIC_SPECIES
Li 6.94 Li.upf
Cr 52.00 Cr.upf
B 10.81 B.upf
F 19.00 F.upf
CELL_PARAMETERS angstrom
4.367 0.000 0.000
0.000 4.367 0.000
0.000 0.000 3.387
ATOMIC_POSITIONS crystal
Li 0.000 0.000 0.000
Cr 0.000 0.500 0.500
Cr 0.500 0.000 0.500
B 0.500 0.500 0.000
F 0.000 0.000 0.500
! Size of the total moment ... 7.80 Bohr magnetons per cell
! Uncorrected energy ... -5.075 eV per atom
! N(E_F) ... 0.370 states/eV/atom
! SG ... P4/mmm (123)

***

# 2
! CuNiIrO6 | the Alexandria database | GGA+U | optimized geometry; values from VASP
&SYSTEM
  ibrav = 0, nat = 18, ntyp = 4
/
ATOMIC_SPECIES
Cu 63.55 Cu.upf
Ni 58.69 Ni.upf
Ir 192.22 Ir.upf
O 16.00 O.upf
CELL_PARAMETERS angstrom
5.028 0.000 0.000
-2.514 4.355 0.000
0.000 0.000 8.552
ATOMIC_POSITIONS crystal
Cu 0.000 0.000 0.000
Cu 0.000 0.000 0.500
Ni 0.333 0.667 0.250
Ni 0.667 0.333 0.750
Ir 0.333 0.667 0.750
Ir 0.667 0.333 0.250
O 0.011 0.355 0.625
O 0.011 0.655 0.875
O 0.345 0.355 0.875
O 0.345 0.989 0.625
O 0.355 0.011 0.125
O 0.355 0.345 0.375
O 0.645 0.655 0.625
O 0.645 0.989 0.875
O 0.655 0.011 0.375
O 0.655 0.645 0.125
O 0.989 0.345 0.125
O 0.989 0.645 0.375
! Size of the total moment ... 2.02 Bohr magnetons per cell
! Uncorrected energy ... -5.545 eV per atom
! N(E_F) ... 0.600 states/eV/atom
! SG ... P-31c (163)